Entry from Alexandria: crystalline SrCN2F at its relaxed geometry (PBEsol).

Output
The calculation puts the total energy at -3.95 eV per atom. The crystal system is tetragonal. For the uncorrected formation energy, the calculation gives 2.141 eV/atom.

Cell: 4.581 5.278 5.278 Å, 90.00 90.00 90.00°
Last column: magnetic moment on the atom in μB.
Positions (direct):
N1 0.000 0.000 0.500  1.57
Sr1 0.000 0.000 0.000  0.03
N2 0.000 0.500 0.000  1.57
F1 0.500 0.000 0.000  0.04
C1 0.500 0.500 0.500  0.99



Entry from Alexandria: crystalline TcCNF2 at its relaxed geometry (PBEsol).

Output
The calculation puts the total energy at -5.94 eV per atom. The crystal system is tetragonal. For the uncorrected formation energy, the calculation gives 0.722 eV/atom.

Cell: 3.757 3.976 3.976 Å, 90.00 90.00 90.00°
Last column: magnetic moment on the atom in μB.
Positions (direct):
N1 0.500 0.000 0.000  -0.14
C1 0.500 0.500 0.500  0.88
F1 0.000 0.500 0.000  0.07
Tc1 0.000 0.000 0.000  0.82
F2 0.000 0.000 0.500  0.07



Entry from Alexandria: crystalline Na2YCO3F3 at its relaxed geometry (PBEsol).

Output
The calculation puts the total energy at -6.84 eV per atom. The crystal system is orthorhombic. For the uncorrected formation energy, the calculation gives -2.755 eV/atom.

Cell: 6.417 10.616 14.081 Å, 90.00 90.00 90.00°
Positions (direct):
C1 0.497 0.519 0.174
F1 0.305 0.220 0.101
F2 0.805 0.220 0.399
F3 0.293 0.340 0.421
O1 0.450 0.136 0.317
Y1 0.497 0.184 0.486
O2 0.568 0.987 0.411
O3 0.550 0.864 0.683
O4 0.932 0.487 0.411
F4 0.695 0.780 0.899
F5 0.195 0.720 0.101
Y2 0.997 0.316 0.514
Na1 0.553 0.994 0.894
F6 0.707 0.840 0.079
Na2 0.553 0.506 0.394
F7 0.347 0.626 0.480
F8 0.707 0.660 0.579
O5 0.001 0.560 0.742
Na3 0.765 0.779 0.244
O6 0.501 0.560 0.758
Y3 0.503 0.684 0.014
F9 0.653 0.126 0.020
O7 0.950 0.364 0.683
O8 0.950 0.136 0.183
O9 0.999 0.060 0.758
Na4 0.053 0.506 0.106
Y4 0.003 0.684 0.486
Y5 0.503 0.816 0.514
O10 0.432 0.487 0.089
Y6 0.497 0.316 0.986
C2 0.997 0.519 0.326
O11 0.068 0.513 0.589
Na5 0.447 0.494 0.606
Na6 0.265 0.779 0.256
F10 0.305 0.280 0.601
Na7 0.765 0.721 0.744
F11 0.793 0.340 0.079
Na8 0.735 0.279 0.244
C3 0.503 0.019 0.326
Na9 0.447 0.006 0.106
F12 0.207 0.840 0.421
C4 0.497 0.981 0.674
O12 0.050 0.864 0.817
C5 0.503 0.481 0.826
F13 0.153 0.374 0.980
Na10 0.235 0.279 0.256
F14 0.847 0.874 0.520
Na11 0.735 0.221 0.744
F15 0.805 0.280 0.899
F16 0.653 0.374 0.520
O13 0.050 0.636 0.317
O14 0.550 0.636 0.183
F17 0.195 0.780 0.601
O15 0.001 0.940 0.242
Na12 0.947 0.494 0.894
O16 0.499 0.060 0.742
F18 0.153 0.126 0.480
Na13 0.265 0.721 0.756
Y7 0.997 0.184 0.014
O17 0.499 0.440 0.242
Na14 0.235 0.221 0.756
Na15 0.053 0.994 0.606
O18 0.999 0.440 0.258
O19 0.450 0.364 0.817
F19 0.347 0.874 0.980
O20 0.432 0.013 0.589
F20 0.793 0.160 0.579
F21 0.847 0.626 0.020
F22 0.695 0.720 0.399
C6 0.997 0.981 0.826
O21 0.068 0.987 0.089
O22 0.568 0.513 0.911
Na16 0.947 0.006 0.394
Y8 0.003 0.816 0.986
C7 0.003 0.019 0.174
F23 0.293 0.160 0.921
F24 0.207 0.660 0.921
O23 0.932 0.013 0.911
C8 0.003 0.481 0.674
O24 0.501 0.940 0.258



Entry from Alexandria: crystalline NaYCO3F2 at its relaxed geometry (PBEsol).

Output
The calculation puts the total energy at -7.44 eV per atom. The crystal system is orthorhombic. For the uncorrected formation energy, the calculation gives -2.761 eV/atom.

Cell: 6.294 6.933 9.167 Å, 90.00 90.00 90.00°
Positions (direct):
O1 0.832 0.250 0.052
C1 0.043 0.750 0.060
Y1 0.510 0.250 0.923
Na1 0.669 0.250 0.282
F1 0.456 0.440 0.130
Na2 0.331 0.750 0.718
F2 0.456 0.060 0.130
O2 0.342 0.750 0.456
Y2 0.990 0.750 0.423
O3 0.668 0.750 0.552
O4 0.332 0.250 0.448
Na3 0.831 0.750 0.782
O5 0.634 0.750 0.312
O6 0.658 0.250 0.544
Na4 0.169 0.250 0.218
O7 0.366 0.250 0.688
F3 0.956 0.440 0.370
C2 0.957 0.250 0.940
F4 0.544 0.940 0.870
O8 0.866 0.250 0.812
O9 0.134 0.750 0.188
O10 0.842 0.750 0.044
F5 0.956 0.060 0.370
Y3 0.010 0.250 0.577
F6 0.044 0.940 0.630
C3 0.457 0.250 0.560
O11 0.158 0.250 0.956
C4 0.543 0.750 0.440
O12 0.168 0.750 0.948
F7 0.044 0.560 0.630
F8 0.544 0.560 0.870
Y4 0.490 0.750 0.077



Entry from Alexandria: crystalline NbCF2 at its relaxed geometry (PBEsol).

Output
The calculation puts the total energy at -5.67 eV per atom. The crystal system is trigonal. For the uncorrected formation energy, the calculation gives 0.408 eV/atom.

Cell: 2.893 2.893 9.346 Å, 81.10 81.10 60.00°
Last column: magnetic moment on the atom in μB.
Positions (direct):
F1 0.068 0.068 0.795  0.01
Nb1 0.000 0.000 0.000  0.04
F2 0.932 0.932 0.205  0.01
C1 0.500 0.500 0.500  0.37



Entry from Alexandria: crystalline NbCO2F at its relaxed geometry (PBEsol).

Output
The calculation puts the total energy at -7.04 eV per atom. The crystal system is tetragonal. For the uncorrected formation energy, the calculation gives -0.458 eV/atom.

Cell: 3.928 3.928 4.089 Å, 90.00 90.00 90.00°
Last column: magnetic moment on the atom in μB.
Positions (direct):
Nb1 0.000 0.000 0.000  0.13
O1 0.000 0.500 0.000  -0.01
F1 0.000 0.000 0.500  0.04
O2 0.500 0.000 0.000  -0.01
C1 0.500 0.500 0.500  0.89



Entry from Alexandria: crystalline Ni3CF at its relaxed geometry (PBEsol).

Output
The calculation puts the total energy at -5.98 eV per atom. The crystal system is cubic. For the uncorrected formation energy, the calculation gives 0.032 eV/atom.

Cell: 3.693 3.693 3.693 Å, 90.00 90.00 90.00°
Positions (direct):
F1 0.500 0.500 0.500
Ni1 0.500 0.000 0.000
Ni2 0.000 0.500 0.000
Ni3 0.000 0.000 0.500
C1 0.000 0.000 0.000



Entry from Alexandria: crystalline Ni2PCF at its relaxed geometry (PBEsol).

Output
The calculation puts the total energy at -5.21 eV per atom. The crystal system is tetragonal. For the uncorrected formation energy, the calculation gives 0.730 eV/atom.

Cell: 3.412 4.245 4.245 Å, 90.00 90.00 90.00°
Last column: magnetic moment on the atom in μB.
Positions (direct):
Ni1 0.000 0.000 0.500  0.31
Ni2 0.000 0.500 0.000  0.31
F1 0.500 0.500 0.500  0.05
C1 0.500 0.000 0.000  0.02
P1 0.000 0.000 0.000  0.00